Computed, not measured: a geometry-optimized Li2NiO2F structure at the PBE+U level of DFT.

Calculated values
Density of states at the Fermi level in states/eV per atom: 0.189
Relative energy among the computed polymorphs in eV/atom: 0.080
Theoretical density in Mg/m³: 3.9

Cell: 5.081 8.690 9.615 Å, 90.00 98.50 90.00°
Space group C2 (No. 5)
One atom of each set of equivalent atoms:
Li (0.000, 0.000, 0.000)
Li (0.000, 0.339, 0.000)
Li (0.240, 0.842, 0.247)
Li (0.240, 0.999, 0.754)
Li (0.245, 0.676, 0.753)
Ni (0.000, 0.170, 0.500)
Ni (0.000, 0.503, 0.500)
Ni (0.000, 0.685, 0.000)
Ni (0.000, 0.838, 0.500)
O (0.115, 0.833, 0.882)
O (0.116, 0.342, 0.386)
O (0.128, 0.006, 0.384)
O (0.128, 0.664, 0.390)
F (0.112, 0.513, 0.878)
F (0.123, 0.171, 0.875)